Cd3Pd5Au3 after structural relaxation, computed with PBE.

Values from the calculation:
**Distance to the lowest polymorph of the same formula**: 0 meV/atom
**Density of states at the Fermi level**: 0.382 states/eV/atom
**ΔH_f (0 K)**: 0.862 eV per formula unit

Cell lengths 2.8970, 9.2399, 9.2399 Å; angles 120.00, 90.00, 90.00 degrees
Sites, in units of the cell vectors:
Cd  0.0000  0.5760  0.0000
Cd  0.0000  0.0000  0.5760
Cd  0.0000  0.4240  0.4240
Pd  0.5000  0.6667  0.3333
Pd  0.5000  0.3333  0.6667
Pd  0.5000  0.3350  0.0000
Pd  0.5000  0.6650  0.6650
Pd  0.5000  0.0000  0.3350
Au  0.5000  0.8272  0.0000
Au  0.5000  0.1728  0.1728
Au  0.5000  0.0000  0.8272

---

TbPrNdLu after structural relaxation, computed with PBE.

Values from the calculation:
**Density of states at the Fermi level**: 1.716 states/eV/atom
**ΔH_f (0 K)**: 0.404 eV per formula unit

Cell lengths 5.7371, 5.7371, 5.7371 Å; angles 60.00, 60.00, 60.00 degrees
Sites, in units of the cell vectors:
Pr  0.7500  0.7500  0.7500
Nd  0.2500  0.2500  0.2500
Lu  0.5000  0.5000  0.5000
Tb  0.0000  0.0000  0.0000